DFT (PBE) results for a relaxed Sr3Sm2PaP6 crystal.

- energy (eV per formula unit) = -71.5
- DOS at the Fermi energy (states/eV/f.u.) = 10.5
- total moment (μB/f.u.) = 0.0

Unit cell a=7.2747 b=12.6112 c=7.3726 alpha=90.00 beta=109.27 gamma=90.00
Space group C2/m (No. 12)
Symmetry-distinct sites (fractional):
Sr: 0.0000 0.0000 0.0000 x2
Sr: 0.0000 0.3303 0.0000 x4
Sm: 0.0000 0.1665 0.5000 x4
Pa: 0.0000 0.5000 0.5000 x2
P: 0.2334 0.3399 0.7203 x8
P: 0.2460 0.5000 0.2792 x4